VASP calculation (PBE) on a geometry-optimized NdSm7Tm4 structure.

Properties
Space group = P-1
Total energy = -55.68 eV for the cell shown
Energy above the most stable polymorph in this dataset = 0.0 meV per atom
Size of the total moment = 0.00 Bohr magnetons per cell

Cell and atoms, written as POSCAR:
```
NdSm7Tm4
1.0
6.261 0.000 0.000
-0.002 7.226 0.000
-2.087 -0.002 8.658
Nd Sm Tm
1 7 4
Direct
0.000 0.000 0.000
0.000 0.500 0.000
0.223 0.000 0.665
0.280 0.748 0.336
0.499 0.254 0.002
0.501 0.746 0.998
0.720 0.252 0.664
0.777 0.000 0.335
0.219 0.500 0.664
0.278 0.254 0.335
0.722 0.746 0.665
0.781 0.500 0.336
```